Entry from OQMD via LeMat-Bulk: a relaxed NiSbMo4C2 crystal (PBE). Values from VASP.

```
&SYSTEM
  ibrav = 0, nat = 8, ntyp = 4
/
ATOMIC_SPECIES
Ni 58.69 Ni.upf
Sb 121.76 Sb.upf
Mo 95.94 Mo.upf
C 12.01 C.upf
CELL_PARAMETERS angstrom
3.1458 0.0000 0.0000
-1.5729 2.7243 0.0000
0.0000 0.0000 12.9000
ATOMIC_POSITIONS crystal
Ni 0.0000 0.0000 0.0000
Sb 0.6667 0.3333 0.5000
Mo 0.0000 0.0000 0.3221
Mo 0.0000 0.0000 0.6779
Mo 0.6667 0.3333 0.1485
Mo 0.6667 0.3333 0.8515
C 0.3333 0.6667 0.2366
C 0.3333 0.6667 0.7634
```



Entry from OQMD via LeMat-Bulk: a relaxed TlNiMo4C2 crystal (PBE). Values from VASP.

```
&SYSTEM
  ibrav = 0, nat = 8, ntyp = 4
/
ATOMIC_SPECIES
Tl 204.38 Tl.upf
Ni 58.69 Ni.upf
Mo 95.94 Mo.upf
C 12.01 C.upf
CELL_PARAMETERS angstrom
3.1212 0.0000 0.0000
-1.5606 2.7030 0.0000
0.0000 0.0000 13.2509
ATOMIC_POSITIONS crystal
Tl 0.0000 0.0000 0.0000
Ni 0.6667 0.3333 0.5000
Mo 0.0000 0.0000 0.3559
Mo 0.0000 0.0000 0.6441
Mo 0.6667 0.3333 0.1869
Mo 0.6667 0.3333 0.8131
C 0.3333 0.6667 0.2698
C 0.3333 0.6667 0.7302
```



Entry from OQMD via LeMat-Bulk: a relaxed Ni3Mo4W2C3 crystal (PBE). Values from VASP.

```
&SYSTEM
  ibrav = 0, nat = 24, ntyp = 4
/
ATOMIC_SPECIES
Ni 58.69 Ni.upf
Mo 95.94 Mo.upf
W 183.84 W.upf
C 12.01 C.upf
CELL_PARAMETERS angstrom
4.4858 -2.5617 0.0000
4.4858 2.5617 0.0000
-3.1203 0.0000 12.8119
ATOMIC_POSITIONS crystal
Ni 0.0812 0.9188 0.7500
Ni 0.1064 0.4101 0.7501
Ni 0.4101 0.1064 0.2501
Ni 0.5899 0.8936 0.7499
Ni 0.8936 0.5899 0.2499
Ni 0.9188 0.0812 0.2500
Mo 0.0250 0.1998 0.0858
Mo 0.1375 0.3069 0.4134
Mo 0.1998 0.0250 0.5858
Mo 0.3069 0.1375 0.9134
Mo 0.6931 0.8625 0.0866
Mo 0.8002 0.9750 0.4142
Mo 0.8625 0.6931 0.5866
Mo 0.9750 0.8002 0.9142
W 0.3788 0.5413 0.1266
W 0.4587 0.6212 0.3734
W 0.5413 0.3788 0.6266
W 0.6212 0.4587 0.8734
C 0.0000 0.5000 0.0000
C 0.2040 0.6474 0.4998
C 0.3526 0.7960 0.0002
C 0.5000 0.0000 0.5000
C 0.6474 0.2040 0.9998
C 0.7960 0.3526 0.5002
```



| no. | energy (eV/atom) | spin magnetization (μB per cell) |
| --- | --- | --- |
| 1 | -8.807 | 0.25 |
| 2 | -8.572 | 0.00 |
| 3 | -9.302 | 0.61 |